Computed, not measured: a relaxed structure of LuPaGaHg at the PBE level of DFT.

Properties
SG = F-43m (216)
DOS(E_F) = 6.694 states/eV per cell
Calculated total energy = -4.486 eV per atom

a b c (Å): 5.1277 5.1277 5.1277
angles (deg): 60.00 60.00 60.00
Last column: nearest neighbours and their distance in Å.
Atoms (fractional coordinates):
Ga (0.2500, 0.2500, 0.2500)  4 Pa 3.14, 4 Lu 3.14
Hg (0.7500, 0.7500, 0.7500)  4 Pa 3.14, 4 Lu 3.14
Lu (0.5000, 0.5000, 0.5000)  4 Ga 3.14, 4 Hg 3.14
Pa (0.0000, 0.0000, 0.0000)  4 Hg 3.14, 4 Ga 3.14

Computed, not measured: a relaxed structure of TbCeLuPb at the PBE level of DFT.

Properties
SG = F-43m (216)
DOS(E_F) = 8.285 states/eV per cell
Calculated total energy = -4.726 eV per atom

a b c (Å): 5.4116 5.4116 5.4116
angles (deg): 60.00 60.00 60.00
Last column: nearest neighbours and their distance in Å.
Atoms (fractional coordinates):
Lu (0.0000, 0.0000, 0.0000)  4 Pb 3.31, 4 Ce 3.31
Pb (0.7500, 0.7500, 0.7500)  4 Lu 3.31, 4 Tb 3.31
Tb (0.5000, 0.5000, 0.5000)  4 Ce 3.31, 4 Pb 3.31
Ce (0.2500, 0.2500, 0.2500)  4 Lu 3.31, 4 Tb 3.31

Computed, not measured: a relaxed structure of KLiPuO3 at the PBE level of DFT.

Properties
SG = P2_1/m (11)
DOS(E_F) = 12.639 states/eV per cell
Formation energy from raw total energies = -2.372 eV per atom

a b c (Å): 3.5235 7.7095 7.4785
angles (deg): 106.20 90.00 90.00
Last column: nearest neighbours and their distance in Å.
Atoms (fractional coordinates):
O (0.7500, 0.1767, 0.5518)  3 Li 1.93-2.00, 1 Pu 2.14
O (0.7500, 0.4745, 0.1482)  3 Pu 2.27-2.33
O (0.2500, 0.8233, 0.4482)  3 Li 1.93-2.00, 1 Pu 2.14
O (0.2500, 0.1561, 0.8648)  1 Li 1.94
O (0.2500, 0.5255, 0.8518)  3 Pu 2.27-2.33
O (0.7500, 0.8439, 0.1352)  1 Li 1.94
Li (0.2500, 0.0723, 0.5945)  4 O 1.93-2.00
Li (0.7500, 0.9277, 0.4055)  4 O 1.93-2.00
K (0.2500, 0.2115, 0.2540)  5 O 2.82-2.96, 1 Li 3.03
K (0.7500, 0.7885, 0.7460)  5 O 2.82-2.96, 1 Li 3.03
Pu (0.7500, 0.3248, 0.8407)  6 O 2.14-2.33
Pu (0.2500, 0.6752, 0.1593)  6 O 2.14-2.33

The lowest DOS(E_F) belongs to which entry? LuPaGaHg